This record from the Alexandria database describes KZrPd2 after structural relaxation. The functional is PBE.

Structure (POSCAR):
```
KZrPd2
1.0
7.688 0.000 0.000
0.000 7.688 0.000
3.844 3.844 3.230
K Zr Pd
2 2 4
Direct
0.500 0.500 0.000
0.250 0.750 0.500
0.000 0.000 0.000
0.750 0.250 0.500
0.668 0.125 0.250
0.082 0.625 0.250
0.375 0.332 0.750
0.875 0.918 0.750
```

Values from the calculation:
For the spin magnetization, the calculation gives 0.00 μB per cell. As for the relative energy among the computed polymorphs: 0.449 eV/f.u. The value obtained for the formation energy is 0.85 eV per formula unit.